(1)
# K3SrPb

A relaxed structure of K3SrPb (PBEsol, Alexandria).

As for the space group: Pm-3m (221). The magnetic moment comes out at 1.0 μB per formula unit. The value obtained for the final energy is -5.4 eV per cell. The formation energy is 74 kJ/mol of atoms.

abc: 7.074 7.074 7.074
angles: 90.00 90.00 90.00
Sites, in units of the cell vectors:
K  0.000  0.000  0.500
K  0.000  0.500  0.000
K  0.500  0.000  0.000
Sr  0.000  0.000  0.000
Pb  0.500  0.500  0.500



(2)
# K2TaPb

A relaxed structure of K2TaPb (PBEsol, Alexandria).

As for the space group: R-3m (166). The magnetic moment comes out at 0.0 μB per formula unit. The value obtained for the final energy is -15.3 eV per cell. The formation energy is 85 kJ/mol of atoms.

abc: 12.741 12.741 12.741
angles: 14.31 14.31 14.31
Sites, in units of the cell vectors:
K  0.250  0.250  0.250
K  0.750  0.750  0.750
Ta  0.000  0.000  0.000
Pb  0.500  0.500  0.500



(3)
# KTcPb

A relaxed structure of KTcPb (PBEsol, Alexandria).

As for the space group: P-6m2 (187). The magnetic moment comes out at 2.2 μB per formula unit. The value obtained for the final energy is -13.1 eV per cell. The formation energy is 106 kJ/mol of atoms.

abc: 5.119 5.119 3.164
angles: 90.00 90.00 120.00
Sites, in units of the cell vectors:
K  0.000  0.000  0.000
Tc  0.333  0.667  0.500
Pb  0.667  0.333  0.500



(4)
# KTePb4

A relaxed structure of KTePb4 (PBEsol, Alexandria).

As for the space group: F-43m (216). The magnetic moment comes out at 0.0 μB per formula unit. The value obtained for the final energy is -20.8 eV per cell.

abc: 6.465 6.465 6.465
angles: 60.00 60.00 60.00
Sites, in units of the cell vectors:
K  0.000  0.000  0.000
Te  0.250  0.250  0.250
Pb  0.125  0.625  0.625
Pb  0.625  0.125  0.625
Pb  0.625  0.625  0.125
Pb  0.625  0.625  0.625



Q: The lowest final energy belongs to which entry?
A: KTePb4



Q: The lowest final energy belongs to which entry?
A: KTePb4



Q: final energy of number 2 (K2TaPb)?
A: -15.3 eV per cell